(1)
The following is a GGA-PBE calculation of BaPr2P2N6 after structural relaxation, from the Alexandria database.

The structure in CIF format:
```
data_BaPr2P2N6
_cell_length_a 6.0313
_cell_length_b 6.0364
_cell_length_c 6.8119
_cell_angle_alpha 101.90
_cell_angle_beta 112.81
_cell_angle_gamma 108.79
_symmetry_space_group_name_H-M 'P -1'
_symmetry_Int_Tables_number 2
_symmetry_space_group_name_Hall '-P 1'
loop_
_atom_site_label
_atom_site_fract_x
_atom_site_fract_y
_atom_site_fract_z
_atom_site_occupancy
Ba1 0.0000 0.0000 0.0000 1
Pr1 0.3825 0.2856 0.6716 1
P1 0.2882 0.7459 0.7268 1
N1 0.0867 0.8624 0.6363 1
N2 0.3131 0.6368 0.9242 1
N3 0.4811 0.7347 0.6223 1
```

* formation energy without anion corrections: -0.876 eV/atom
* DOS(E_F): 0.000 states/eV/atom
* total moment: 0.00 μB/f.u.

---

(2)
The following is a GGA-PBE calculation of Nd3CoBi after structural relaxation, from the Alexandria database.

The structure in CIF format:
```
data_Nd3CoBi
_cell_length_a 8.4315
_cell_length_b 4.3956
_cell_length_c 8.6925
_cell_angle_alpha 90.00
_cell_angle_beta 117.82
_cell_angle_gamma 90.00
_symmetry_space_group_name_H-M 'P 1 21/m 1'
_symmetry_Int_Tables_number 11
_symmetry_space_group_name_Hall '-P 2yb'
loop_
_atom_site_label
_atom_site_fract_x
_atom_site_fract_y
_atom_site_fract_z
_atom_site_occupancy
Nd1 0.0460 0.2500 0.2209 1
Nd2 0.3170 0.2500 0.8853 1
Nd3 0.3392 0.7500 0.5763 1
Co1 0.0382 0.2500 0.5507 1
Bi1 0.3242 0.7500 0.1845 1
```

* calculated formation energy: -0.406 eV/atom
* DOS(E_F): 1.225 states/eV/atom
* polymorph energy (0 for the lowest one): 0.0000 eV per atom
* total moment: 0.82 μB/f.u.

---

(3)
The following is a GGA-PBE calculation of PuBiSbAu after structural relaxation, from the Alexandria database.

The structure in CIF format:
```
data_PuBiSbAu
_cell_length_a 7.4897
_cell_length_b 7.4897
_cell_length_c 7.4897
_cell_angle_alpha 90.00
_cell_angle_beta 90.00
_cell_angle_gamma 90.00
_symmetry_space_group_name_H-M 'F -4 3 m'
_symmetry_Int_Tables_number 216
_symmetry_space_group_name_Hall 'F -4 2 3'
loop_
_atom_site_label
_atom_site_fract_x
_atom_site_fract_y
_atom_site_fract_z
_atom_site_occupancy
Pu1 0.0000 0.0000 0.0000 1
Bi1 0.0000 0.0000 0.5000 1
Sb1 0.2500 0.2500 0.2500 1
Au1 0.2500 0.2500 0.7500 1
```

* formation energy without anion corrections: -0.233 eV/atom
* DOS(E_F): 3.252 states/eV/atom
* polymorph energy (0 for the lowest one): 0.1306 eV per atom
* total moment: 5.74 μB/f.u.